(1)
! PmHo6Se8 (PBE, optimized geometry); values from VASP
! Uncorrected formation energy = -1.81 eV per atom
! Energy above the most stable polymorph in this dataset = 0 meV/atom
&SYSTEM
  ibrav = 0, nat = 15, ntyp = 3
/
ATOMIC_SPECIES
Pm 145.00 Pm.upf
Ho 164.93 Ho.upf
Se 78.96 Se.upf
CELL_PARAMETERS angstrom
0.000 5.727 5.727
5.727 0.000 5.727
5.727 5.727 0.000
ATOMIC_POSITIONS angstrom
Pm 0.000 0.000 0.000
Ho 2.864 2.864 0.000
Ho 2.864 0.000 2.864
Ho 5.727 2.864 2.864
Ho 0.000 2.864 2.864
Ho 2.864 5.727 2.864
Ho 2.864 2.864 5.727
Se 2.864 2.864 2.864
Se 5.727 5.727 2.971
Se 5.727 2.971 5.727
Se 8.483 5.727 5.727
Se 2.971 5.727 5.727
Se 5.727 8.483 5.727
Se 5.727 5.727 8.483
Se 8.591 8.591 8.591

(2)
! Pm2Ho2Se5 (PBE, optimized geometry); values from VASP
! Uncorrected formation energy = -1.75 eV per atom
! Energy above the most stable polymorph in this dataset = 0 meV/atom
&SYSTEM
  ibrav = 0, nat = 18, ntyp = 3
/
ATOMIC_SPECIES
Pm 145.00 Pm.upf
Ho 164.93 Ho.upf
Se 78.96 Se.upf
CELL_PARAMETERS angstrom
7.394 -3.877 0.000
7.394 3.877 0.000
0.000 0.000 7.714
ATOMIC_POSITIONS angstrom
Pm 2.923 0.000 0.000
Pm 4.471 0.000 3.857
Pm 10.316 0.000 3.857
Pm 11.865 0.000 0.000
Ho 7.394 2.705 5.064
Ho 7.394 1.172 1.207
Ho 7.394 -1.172 6.508
Ho 7.394 -2.705 2.651
Se 0.000 0.000 0.000
Se 5.389 2.646 2.666
Se 5.389 1.230 6.523
Se 9.398 2.646 2.666
Se 9.398 1.230 6.523
Se 7.394 0.000 3.857
Se 5.389 -1.230 1.191
Se 5.389 -2.646 5.049
Se 9.398 -1.230 1.191
Se 9.398 -2.646 5.049

(3)
! PmHoSe (PBE, optimized geometry); values from VASP
! Uncorrected formation energy = -0.99 eV per atom
! Energy above the most stable polymorph in this dataset = 110 meV/atom
&SYSTEM
  ibrav = 0, nat = 12, ntyp = 3
/
ATOMIC_SPECIES
Pm 145.00 Pm.upf
Ho 164.93 Ho.upf
Se 78.96 Se.upf
CELL_PARAMETERS angstrom
4.286 -5.426 0.000
4.286 5.426 0.000
0.000 0.000 7.567
ATOMIC_POSITIONS angstrom
Pm 1.720 0.000 0.000
Pm 2.566 0.000 3.783
Pm 6.006 0.000 3.783
Pm 6.851 0.000 0.000
Ho 4.286 3.247 5.034
Ho 4.286 2.180 1.251
Ho 4.286 -2.180 6.316
Ho 4.286 -3.247 2.532
Se 4.286 4.719 2.310
Se 4.286 0.708 6.094
Se 4.286 -0.708 1.473
Se 4.286 -4.719 5.256

(4)
! Pm3HoSe6 (PBE, optimized geometry); values from VASP
! Uncorrected formation energy = -1.86 eV per atom
! Energy above the most stable polymorph in this dataset = 0 meV/atom
&SYSTEM
  ibrav = 0, nat = 20, ntyp = 3
/
ATOMIC_SPECIES
Pm 145.00 Pm.upf
Ho 164.93 Ho.upf
Se 78.96 Se.upf
CELL_PARAMETERS angstrom
6.104 3.524 4.834
-6.104 3.524 4.834
0.000 -7.049 4.834
ATOMIC_POSITIONS angstrom
Pm -4.131 -1.200 6.748
Pm -1.026 -4.178 7.752
Pm -3.105 2.977 7.752
Pm 3.105 -2.977 6.748
Pm 1.026 4.178 6.748
Pm 4.131 1.200 7.752
Ho 0.000 0.000 0.000
Ho 0.000 0.000 7.250
Se -3.941 -3.868 7.906
Se -5.320 1.480 6.595
Se -1.398 -1.997 5.769
Se 1.379 -5.347 6.595
Se -2.428 0.212 8.732
Se -1.030 2.209 5.769
Se 1.030 -2.209 8.732
Se 2.428 -0.212 5.769
Se -1.379 5.347 7.906
Se 1.398 1.997 8.732
Se 5.320 -1.480 7.906
Se 3.941 3.868 6.595

(5)
! Pm2Ho3Se8 (PBE, optimized geometry); values from VASP
! Uncorrected formation energy = -1.73 eV per atom
&SYSTEM
  ibrav = 0, nat = 13, ntyp = 3
/
ATOMIC_SPECIES
Pm 145.00 Pm.upf
Ho 164.93 Ho.upf
Se 78.96 Se.upf
CELL_PARAMETERS angstrom
7.212 -4.137 0.000
7.212 4.137 0.000
-2.342 0.000 6.621
ATOMIC_POSITIONS angstrom
Pm 3.087 0.000 1.075
Pm 8.996 0.000 5.546
Ho 6.041 2.159 3.310
Ho 7.212 0.000 0.000
Ho 6.041 -2.159 3.310
Se 0.749 0.000 2.798
Se 5.271 1.963 0.583
Se 6.811 1.963 6.037
Se 4.192 0.000 3.837
Se 7.891 0.000 2.784
Se 5.271 -1.963 0.583
Se 6.811 -1.963 6.037
Se 11.333 0.000 3.823

(6)
! Pm2Ho2Se3 (PBE, optimized geometry); values from VASP
! Uncorrected formation energy = -1.50 eV per atom
&SYSTEM
  ibrav = 0, nat = 7, ntyp = 3
/
ATOMIC_SPECIES
Pm 145.00 Pm.upf
Ho 164.93 Ho.upf
Se 78.96 Se.upf
CELL_PARAMETERS angstrom
6.794 -2.030 0.000
6.794 2.030 0.000
-1.455 0.000 6.845
ATOMIC_POSITIONS angstrom
Pm 1.147 0.000 2.416
Pm 10.987 0.000 4.429
Ho 4.969 0.000 0.828
Ho 7.165 0.000 6.016
Se 2.178 0.000 5.164
Se 6.067 0.000 3.422
Se 9.956 0.000 1.681

(7)
! PmHo4Se5 (PBE, optimized geometry); values from VASP
! Uncorrected formation energy = -1.74 eV per atom
&SYSTEM
  ibrav = 0, nat = 10, ntyp = 3
/
ATOMIC_SPECIES
Pm 145.00 Pm.upf
Ho 164.93 Ho.upf
Se 78.96 Se.upf
CELL_PARAMETERS angstrom
-2.039 2.883 10.244
2.039 -2.883 10.244
2.039 2.883 -10.244
ATOMIC_POSITIONS angstrom
Pm 0.000 0.000 0.000
Ho 0.000 0.000 4.143
Ho 0.000 0.000 8.215
Ho 0.000 0.000 12.273
Ho 0.000 0.000 16.344
Se 2.039 0.000 2.146
Se 2.039 0.000 6.173
Se 0.000 2.883 0.000
Se 0.000 2.883 4.071
Se 0.000 2.883 8.098

(8)
! PmHo6Se8 (PBE, optimized geometry); values from VASP
! Uncorrected formation energy = -1.46 eV per atom
! Energy above the most stable polymorph in this dataset = 349 meV/atom
&SYSTEM
  ibrav = 0, nat = 15, ntyp = 3
/
ATOMIC_SPECIES
Pm 145.00 Pm.upf
Ho 164.93 Ho.upf
Se 78.96 Se.upf
CELL_PARAMETERS angstrom
5.545 3.201 4.224
-5.545 3.201 4.224
0.000 -6.403 4.224
ATOMIC_POSITIONS angstrom
Pm 0.000 0.000 0.000
Ho -2.067 -0.160 4.880
Ho 1.172 -1.710 4.880
Ho -0.895 -1.870 7.791
Ho 0.895 1.870 4.880
Ho -1.172 1.710 7.791
Ho 2.067 0.160 7.791
Se -1.255 -3.065 5.212
Se 0.000 0.000 2.937
Se -3.282 -0.446 7.459
Se -2.027 2.619 5.212
Se 2.027 -2.619 7.459
Se 3.282 0.446 5.212
Se 0.000 0.000 9.734
Se 1.255 3.065 7.459

(9)
! Pm5Ho3Se12 (PBE, optimized geometry); values from VASP
! Uncorrected formation energy = -1.60 eV per atom
&SYSTEM
  ibrav = 0, nat = 80, ntyp = 3
/
ATOMIC_SPECIES
Pm 145.00 Pm.upf
Ho 164.93 Ho.upf
Se 78.96 Se.upf
CELL_PARAMETERS angstrom
-8.521 8.521 8.521
8.521 -8.521 8.521
8.521 8.521 -8.521
ATOMIC_POSITIONS angstrom
Pm 0.000 0.000 0.000
Pm 4.261 4.261 -4.261
Pm 4.261 -4.261 4.261
Pm 8.521 0.000 0.000
Pm 12.782 2.130 0.000
Pm 8.521 -4.261 6.391
Pm 6.391 8.521 -4.261
Pm 6.391 0.000 4.261
Pm 4.261 6.391 0.000
Pm 8.521 4.261 2.130
Pm -4.261 4.261 4.261
Pm 0.000 8.521 0.000
Pm 0.000 0.000 8.521
Pm 4.261 4.261 4.261
Pm 0.000 4.261 6.391
Pm 4.261 2.130 8.521
Pm 2.130 8.521 4.261
Pm 2.130 0.000 12.782
Pm 0.000 12.782 2.130
Pm -4.261 6.391 8.521
Ho 4.261 2.130 0.000
Ho 8.521 4.261 -2.130
Ho 2.130 0.000 4.261
Ho 10.651 0.000 4.261
Ho 0.000 4.261 2.130
Ho 4.261 -2.130 8.521
Ho 4.261 10.651 0.000
Ho 8.521 4.261 6.391
Ho -2.130 8.521 4.261
Ho 6.391 8.521 4.261
Ho 0.000 4.261 10.651
Ho 4.261 6.391 8.521
Se 2.605 -0.362 1.296
Se 10.176 5.557 -4.623
Se 8.159 -1.296 2.605
Se 13.144 -1.655 2.964
Se 11.126 0.362 1.296
Se 10.176 -2.964 4.623
Se 1.296 2.605 -0.362
Se 11.485 3.898 -1.655
Se 5.557 4.623 -1.655
Se 7.225 2.605 0.362
Se -0.362 1.296 2.605
Se 4.623 -1.655 5.557
Se 8.159 7.225 -2.605
Se 4.623 1.655 2.964
Se 7.225 -2.605 8.159
Se 5.557 -4.623 10.176
Se 2.964 4.623 1.655
Se 9.818 5.916 0.362
Se 2.605 8.159 -1.296
Se 10.176 2.964 3.898
Se 4.623 10.176 -2.964
Se 8.159 1.296 5.916
Se 1.655 2.964 4.623
Se 2.605 0.362 7.225
Se 5.916 8.159 1.296
Se 6.866 5.557 3.898
Se 0.362 7.225 2.605
Se 3.898 -1.655 11.485
Se -1.655 5.557 4.623
Se 5.916 0.362 9.818
Se -1.296 2.605 8.159
Se 5.557 3.898 6.866
Se 2.964 13.144 -1.655
Se 1.296 11.126 0.362
Se 3.898 6.866 5.557
Se 0.362 1.296 11.126
Se 3.898 10.176 2.964
Se 8.883 7.225 5.916
Se 1.296 5.916 8.159
Se 2.964 3.898 10.176
Se -2.964 4.623 10.176
Se 7.225 5.916 8.883
Se -1.655 11.485 3.898
Se -2.605 8.159 7.225
Se -4.623 10.176 5.557
Se 0.362 9.818 5.916
Se -1.655 2.964 13.144
Se 5.916 8.883 7.225

(10)
! PmHo4Se5 (PBE, optimized geometry); values from VASP
! Uncorrected formation energy = -1.74 eV per atom
&SYSTEM
  ibrav = 0, nat = 10, ntyp = 3
/
ATOMIC_SPECIES
Pm 145.00 Pm.upf
Ho 164.93 Ho.upf
Se 78.96 Se.upf
CELL_PARAMETERS angstrom
-2.039 2.039 14.498
2.039 -2.039 14.498
2.039 2.039 -14.498
ATOMIC_POSITIONS angstrom
Pm 0.000 0.000 0.000
Ho 0.000 0.000 5.925
Ho 0.000 0.000 11.674
Ho 0.000 0.000 17.323
Ho 0.000 0.000 23.072
Se 0.000 0.000 3.001
Se 0.000 0.000 8.779
Se 0.000 0.000 14.498
Se 0.000 0.000 20.218
Se 0.000 0.000 25.996

(11)
! Pm5Ho3Se8 (PBE, optimized geometry); values from VASP
! Uncorrected formation energy = -1.79 eV per atom
&SYSTEM
  ibrav = 0, nat = 16, ntyp = 3
/
ATOMIC_SPECIES
Pm 145.00 Pm.upf
Ho 164.93 Ho.upf
Se 78.96 Se.upf
CELL_PARAMETERS angstrom
4.126 2.382 6.838
-4.126 2.382 6.838
0.000 -4.764 6.838
ATOMIC_POSITIONS angstrom
Pm 0.000 0.000 0.000
Pm -2.063 -1.191 6.838
Pm -2.063 1.191 13.677
Pm 0.000 2.382 6.838
Pm 0.000 0.000 10.258
Ho -4.126 0.000 10.258
Ho -2.063 1.191 3.419
Ho 2.063 1.191 3.419
Se -2.102 -1.213 11.902
Se 0.000 0.000 5.034
Se 0.000 -2.427 8.614
Se -2.102 1.213 8.614
Se 2.102 -1.213 11.902
Se 0.000 2.427 11.902
Se 0.000 0.000 15.482
Se 2.102 1.213 8.614

(12)
! Pm4HoSe6 (PBE, optimized geometry); values from VASP
! Uncorrected formation energy = -1.72 eV per atom
&SYSTEM
  ibrav = 0, nat = 22, ntyp = 3
/
ATOMIC_SPECIES
Pm 145.00 Pm.upf
Ho 164.93 Ho.upf
Se 78.96 Se.upf
CELL_PARAMETERS angstrom
5.911 3.413 4.686
-5.911 3.413 4.686
0.000 -6.826 4.686
ATOMIC_POSITIONS angstrom
Pm -3.627 0.543 5.858
Pm 0.000 0.000 3.515
Pm -2.284 -2.870 8.201
Pm 1.343 -3.413 5.858
Pm -1.343 3.413 8.201
Pm 2.284 2.870 5.858
Pm 0.000 0.000 10.544
Pm 3.627 -0.543 8.201
Ho 0.000 0.000 0.000
Ho 0.000 0.000 7.029
Se -5.055 -1.315 7.763
Se -1.388 -5.036 6.296
Se -1.388 -1.790 5.420
Se -3.667 3.720 6.296
Se -0.856 2.097 5.420
Se -2.244 0.307 8.639
Se 2.244 -0.307 5.420
Se 0.856 -2.097 8.639
Se 3.667 -3.720 7.763
Se 1.388 1.790 8.639
Se 1.388 5.036 7.763
Se 5.055 1.315 6.296

| no. | spin magnetization (μB/f.u.) |
| --- | --- |
| 1 | 0.0 |
| 2 | 0.0 |
| 3 | 0.0 |
| 4 | 0.0 |
| 5 | 0.0 |
| 6 | 0.0 |
| 7 | 0.0 |
| 8 | 0.1 |
| 9 | 0.0 |
| 10 | 0.0 |
| 11 | 0.0 |
| 12 | 0.0 |